An optimized crystal structure of BaHfTe2. Source: Alexandria, functional PBE.

abc: 10.7171 10.7171 10.7171
angles: 22.07 22.07 22.07
Positions (direct):
Ba1 0.0000 0.0000 0.0000
Hf1 0.5000 0.5000 0.5000
Te1 0.1119 0.1119 0.1119
Te2 0.8881 0.8881 0.8881

SG	R-3m, No. 166
formation energy without anion corrections	-689	meV/atom